Record 1
ScAlPb GGA-PBE optimized geometry; calculated volume = 22.7 Å³/atom; DFT total energy = -4.68 eV/atom
1.0
-2.5149 -1.3714 -4.0330
0.8805 -3.2774 3.5991
-2.7530 0.8341 1.4331
Pb Sc Al
1 1 1
direct
0.3333 0.6667 0.1721
0.6667 0.3333 0.6668
0.0000 0.0000 0.1610


Record 2
Sc2AlPb GGA-PBE optimized geometry; calculated volume = 22.3 Å³/atom; DFT total energy = -5.38 eV/atom
1.0
5.8504 0.0017 0.0000
2.8244 5.1235 0.0000
-4.3374 -2.5626 2.9744
Pb Sc Al
1 2 1
direct
0.7500 0.2500 0.5000
0.0000 0.0000 0.0000
0.2500 0.7500 0.5000
0.5000 0.5000 0.0000


Record 3
Sc2Al2Pb GGA-PBE optimized geometry; calculated volume = 21.8 Å³/atom; DFT total energy = -5.05 eV/atom
1.0
-1.2931 -7.8013 0.7531
5.3071 -1.4332 -5.7341
2.5079 -0.1871 2.3679
Pb Sc Al
2 4 4
direct
0.0000 0.0000 0.0000
0.5000 0.5000 0.0000
0.1800 0.6800 0.5000
0.6800 0.8200 0.5000
0.8200 0.3200 0.5000
0.3200 0.1800 0.5000
0.3853 0.8853 0.0000
0.8853 0.6147 0.0000
0.6147 0.1147 0.0000
0.1147 0.3853 0.0000


Record 4
Sc2AlPb GGA-PBE optimized geometry; calculated volume = 22.0 Å³/atom; DFT total energy = -5.35 eV/atom
1.0
5.3512 -0.0682 0.0023
-1.5803 5.1130 0.0023
-0.0014 -0.0019 3.2340
Pb Sc Al
1 2 1
direct
0.0000 0.5000 0.5000
0.0000 0.0000 0.0000
0.5000 0.5000 0.0000
0.5000 0.0000 0.5000


Record 5
Sc2AlPb GGA-PBE optimized geometry; calculated volume = 21.8 Å³/atom; DFT total energy = -5.37 eV/atom
1.0
-2.5679 -4.4235 -1.7332
1.7009 -4.2281 2.8975
-1.8629 4.8379 1.5132
Pb Sc Al
1 2 1
direct
0.7500 0.2500 0.5000
0.0000 0.0000 0.0000
0.5000 0.5000 0.0000
0.2500 0.7500 0.5000


Record 6
ScAlPb GGA-PBE optimized geometry; calculated volume = 25.8 Å³/atom; DFT total energy = -4.48 eV/atom
1.0
4.7825 0.0000 0.0000
2.3913 4.1418 0.0000
2.3913 1.3806 3.9049
Pb Sc Al
1 1 1
direct
0.0000 0.0000 0.0000
0.5000 0.5000 0.5000
0.2500 0.2500 0.2500


Record 7
Sr2ScAlPb GGA-PBE optimized geometry; calculated volume = 38.9 Å³/atom; DFT total energy = -3.27 eV/atom
1.0
6.0841 0.0000 0.0000
0.0000 5.2603 0.0000
0.0000 0.0000 6.0841
Pb Sr Sc Al
1 2 1 1
direct
0.5000 0.5000 0.5000
0.0000 0.0000 0.5000
0.5000 0.0000 0.0000
0.0000 0.5000 0.0000
0.0000 0.0000 0.0000


Record 8
Sc2TiAlPb GGA-PBE optimized geometry; calculated volume = 27.3 Å³/atom; DFT total energy = -4.91 eV/atom
1.0
-1.0589 1.7554 4.7011
-2.8084 -4.2642 0.9597
4.1828 -2.3457 1.8180
Pb Sc Al Ti
1 2 1 1
direct
0.0000 0.5000 0.0000
0.0000 0.0000 0.5000
0.5000 0.0000 0.0000
0.0000 0.0000 0.0000
0.5000 0.5000 0.5000


Record 9
TmScAlPb GGA-PBE optimized geometry; calculated volume = 23.8 Å³/atom; DFT total energy = -4.83 eV/atom
1.0
5.1264 0.0000 0.0000
2.5632 4.4396 0.0000
2.5632 1.4799 4.1857
Pb Sc Tm Al
1 1 1 1
direct
0.2500 0.2500 0.2500
0.5000 0.5000 0.5000
0.0000 0.0000 0.0000
0.7500 0.7500 0.7500


Record 10
AlPb2Se GGA-PBE optimized geometry; calculated volume = 26.8 Å³/atom; energy relative to the elements, uncorrected = 0.080 eV per atom
1.0
-5.5828 -0.0867 -1.0886
-4.2749 -3.7129 -0.5469
-2.6310 -0.2367 4.7676
Pb Al Se
2 1 1
direct
0.0122 0.0122 0.9871
0.4878 0.4878 0.5129
0.2500 0.2500 0.2500
0.7500 0.7500 0.7500


Record 11
AlPb2Se GGA-PBE optimized geometry; calculated volume = 36.2 Å³/atom; energy relative to the elements, uncorrected = 0.149 eV per atom
1.0
-5.4769 -3.0738 -1.5010
3.0392 -5.6729 0.5277
-2.9055 -4.6515 6.2370
Pb Al Se
4 2 2
direct
0.6106 0.1250 0.2500
0.1394 0.6250 0.2500
0.3750 0.3894 0.7500
0.8750 0.8606 0.7500
0.5000 0.5000 0.0000
0.2500 0.7500 0.5000
0.0000 0.0000 0.0000
0.7500 0.2500 0.5000


Record 12
Al2PbSe4 GGA-PBE optimized geometry; calculated volume = 27.3 Å³/atom; energy relative to the elements, uncorrected = -0.794 eV per atom
1.0
-6.1029 5.6076 -7.2482
2.4842 -3.3789 -4.7058
-2.8005 -5.3973 -1.8177
Al Pb Se
4 2 8
direct
0.5000 0.7790 0.9523
0.5000 0.2269 0.2312
0.0000 0.2391 0.2464
0.0000 0.7636 0.7640
0.2494 0.4901 0.4906
0.7506 0.4901 0.4906
0.5000 0.1920 0.6321
0.5000 0.8155 0.3162
0.0000 0.6543 0.1885
0.0000 0.3505 0.8238
0.1676 0.0009 0.5043
0.3330 0.5030 0.0133
0.8324 0.0009 0.5043
0.6670 0.5030 0.0133


Record 13
Al2PbSe4 GGA-PBE optimized geometry; calculated volume = 27.1 Å³/atom; energy relative to the elements, uncorrected = -0.799 eV per atom
1.0
6.2610 0.0000 0.0000
-3.1305 5.4974 0.0000
0.0000 0.0000 11.0127
Al Pb Se
4 2 8
direct
0.7612 0.5195 0.0000
0.7583 0.5195 0.5000
0.2417 0.4805 0.5000
0.2388 0.4805 0.0000
0.5000 0.0000 0.7500
0.5000 0.0000 0.2500
0.0000 0.5000 0.8316
0.8164 0.1650 0.5000
0.5000 0.5000 0.6684
0.6514 0.8350 0.0000
0.3486 0.1650 0.0000
0.5000 0.5000 0.3316
0.1836 0.8350 0.5000
0.0000 0.5000 0.1684